The following is a DFT calculation (GGA-PBE) of crystalline Al2MoW at its relaxed geometry.

Lattice parameters (Å, degrees): 5.0102 5.0102 2.7027 90.00 90.00 114.39
With the nearest neighbours (Å) after each atom.
Fractional coordinates of all 4 atoms:
Al (0.0000, 0.5000, 0.0000)  4 Al 2.70-2.71, 4 W 2.85, 4 Mo 2.85
Al (0.5000, 0.0000, 0.0000)  4 Al 2.70-2.71, 4 Mo 2.85, 4 W 2.85
Mo (0.0000, 0.0000, 0.5000)  2 Mo 2.70, 2 W 2.71, 8 Al 2.85
W (0.5000, 0.5000, 0.5000)  2 W 2.70, 2 Mo 2.71, 8 Al 2.85

Properties
**Energy relative to the elements**: 0.00 eV per atom
**Space group**: No. 65
**Electronic total energy**: -7.82 eV/atom
**Energy above the lowest structure with this stoichiometry**: 0.69 eV per formula unit


The following is a DFT calculation (GGA-PBE) of crystalline AlMoW4 at its relaxed geometry.

Lattice parameters (Å, degrees): 5.2052 5.2052 6.4063 108.04 108.04 35.59
With the nearest neighbours (Å) after each atom.
Fractional coordinates of all 6 atoms:
Al (0.0000, 0.0000, 0.0000)  10 W 2.76-3.05
Mo (0.0000, 0.0000, 0.5000)  8 W 2.73-2.77
W (0.3252, 0.3252, 0.1665)  4 W 2.69-2.71, 2 Mo 2.77, 2 Al 2.81
W (0.3333, 0.3333, 0.6616)  4 W 2.71, 2 Mo 2.73, 2 Al 2.76
W (0.6667, 0.6667, 0.3384)  4 W 2.71, 2 Mo 2.73, 2 Al 2.76
W (0.6748, 0.6748, 0.8335)  4 W 2.69-2.71, 2 Mo 2.77, 2 Al 2.81

Properties
**Energy relative to the elements**: 0.02 eV per atom
**Space group**: No. 12
**Electronic total energy**: -11.05 eV/atom
**Energy above the lowest structure with this stoichiometry**: 0.00 eV per formula unit


The following is a DFT calculation (GGA-PBE) of crystalline Al2MoW at its relaxed geometry.

Lattice parameters (Å, degrees): 2.7482 2.7482 8.8165 90.00 90.00 107.68
With the nearest neighbours (Å) after each atom.
Fractional coordinates of all 4 atoms:
Al (0.0000, 0.0000, 0.0000)  2 Mo 2.68, 6 Al 2.75-2.84
Al (0.5000, 0.5000, 0.2648)  2 W 2.69, 6 Al 2.75-2.84
Mo (0.5000, 0.5000, 0.7584)  2 Al 2.68, 2 W 2.74, 4 Mo 2.75
W (0.0000, 0.0000, 0.5080)  2 Al 2.69, 2 Mo 2.74, 4 W 2.75

Properties
**Energy relative to the elements**: 0.03 eV per atom
**Space group**: No. 35
**Electronic total energy**: -7.79 eV/atom
**Energy above the lowest structure with this stoichiometry**: 0.84 eV per formula unit


The following is a DFT calculation (GGA-PBE) of crystalline Al3MoW at its relaxed geometry.

Lattice parameters (Å, degrees): 4.7760 4.7760 4.7760 90.00 90.00 90.00
With the nearest neighbours (Å) after each atom.
Fractional coordinates of all 5 atoms:
Al (0.0000, 0.0000, 0.5000)  2 W 2.39
Al (0.0000, 0.5000, 0.0000)  2 W 2.39
Al (0.5000, 0.0000, 0.0000)  2 W 2.39
Mo (0.5000, 0.5000, 0.5000)  12 Al 3.38
W (0.0000, 0.0000, 0.0000)  6 Al 2.39

Properties
**Energy relative to the elements**: 1.23 eV per atom
**Space group**: No. 221
**Electronic total energy**: -5.77 eV/atom
**Energy above the lowest structure with this stoichiometry**: 0.00 eV per formula unit


The following is a DFT calculation (GGA-PBE) of crystalline Al2MoW at its relaxed geometry.

Lattice parameters (Å, degrees): 5.0690 5.0690 4.3843 115.22 115.22 37.69
With the nearest neighbours (Å) after each atom.
Fractional coordinates of all 4 atoms:
Al (0.2489, 0.2489, 0.2490)  2 Mo 2.69, 2 W 2.70, 4 Al 2.74
Al (0.7511, 0.7511, 0.7510)  2 Mo 2.69, 2 W 2.70, 4 Al 2.74
Mo (0.5000, 0.5000, 0.0000)  4 Al 2.69, 4 W 2.74
W (0.0000, 0.0000, 0.5000)  4 Al 2.70, 4 Mo 2.74

Properties
**Energy relative to the elements**: -0.07 eV per atom
**Space group**: No. 12
**Electronic total energy**: -7.89 eV/atom
**Energy above the lowest structure with this stoichiometry**: 0.42 eV per formula unit


The following is a DFT calculation (GGA-PBE) of crystalline AlMo14W at its relaxed geometry.

Lattice parameters (Å, degrees): 6.3228 6.3228 6.3231 90.00 90.00 90.00
With the nearest neighbours (Å) after each atom.
Fractional coordinates of all 16 atoms:
Al (0.0000, 0.0000, 0.0000)  8 Mo 2.76
Mo (0.0000, 0.0000, 0.5000)  8 Mo 2.74
Mo (0.0000, 0.5000, 0.0000)  8 Mo 2.74
Mo (0.0000, 0.5000, 0.5000)  8 Mo 2.73
Mo (0.2516, 0.2516, 0.2519)  6 Mo 2.72-2.74, 1 W 2.73, 1 Al 2.76
Mo (0.2516, 0.2516, 0.7481)  6 Mo 2.72-2.74, 1 W 2.73, 1 Al 2.76
Mo (0.2516, 0.7484, 0.2519)  6 Mo 2.72-2.74, 1 W 2.73, 1 Al 2.76
Mo (0.2516, 0.7484, 0.7481)  6 Mo 2.72-2.74, 1 W 2.73, 1 Al 2.76
Mo (0.5000, 0.0000, 0.0000)  8 Mo 2.74
Mo (0.5000, 0.0000, 0.5000)  8 Mo 2.73
Mo (0.5000, 0.5000, 0.5000)  8 Mo 2.72
Mo (0.7484, 0.2516, 0.2519)  6 Mo 2.72-2.74, 1 W 2.73, 1 Al 2.76
Mo (0.7484, 0.2516, 0.7481)  6 Mo 2.72-2.74, 1 W 2.73, 1 Al 2.76
Mo (0.7484, 0.7484, 0.2519)  6 Mo 2.72-2.74, 1 W 2.73, 1 Al 2.76
Mo (0.7484, 0.7484, 0.7481)  6 Mo 2.72-2.74, 1 W 2.73, 1 Al 2.76
W (0.5000, 0.5000, 0.0000)  8 Mo 2.73

Properties
**Energy relative to the elements**: -0.03 eV per atom
**Space group**: No. 123
**Electronic total energy**: -10.56 eV/atom


Among the records above, which one has the highest energy relative to the elements? Al3MoW


What is the formula in the third record? Al2MoW